1.
Here is crystalline PrGa2Ni4Ge at its relaxed geometry from the Alexandria database. Energies are from GGA-PBE.

## Properties
space-group type = No. 166
total magnetic moment = 0.000 μB/cell
DOS at the Fermi energy = 6.26 states/eV/cell
energy of formation = -0.40 eV per atom
crystal system = trigonal

Cell lengths 8.8904, 8.8904, 8.8904 Å; angles 26.58, 26.58, 26.58 degrees
With the nearest neighbours (Å) after each atom.
Atoms (fractional coordinates):
Pr1 0.0000 0.0000 0.0000  6 Ni 3.07, 6 Ga 3.28
Ga1 0.2447 0.2447 0.2447  6 Ni 2.38-2.66
Ga2 0.7553 0.7553 0.7553  6 Ni 2.38-2.66
Ni1 0.1367 0.1367 0.1367  3 Ge 2.48, 4 Ga 2.66-2.78
Ni2 0.4096 0.4096 0.4096  1 Ge 2.32, 3 Ga 2.38
Ni3 0.5904 0.5904 0.5904  1 Ge 2.32, 3 Ga 2.38
Ni4 0.8633 0.8633 0.8633  3 Ge 2.48, 4 Ga 2.66-2.78
Ge1 0.5000 0.5000 0.5000  8 Ni 2.32-2.48



2.
Here is crystalline ScMoAu2 at its relaxed geometry from the Alexandria database. Energies are from GGA-PBE.

## Properties
energy above the most stable polymorph in this dataset = 119 meV per atom
space-group type = No. 44
total magnetic moment = 0.019 μB/cell
DOS at the Fermi energy = 7.13 states/eV/cell
energy of formation = -0.03 eV per atom
crystal system = orthorhombic

Cell lengths 3.0683, 4.8821, 9.7202 Å; angles 90.00, 90.00, 90.00 degrees
With the nearest neighbours (Å) after each atom.
Atoms (fractional coordinates):
Sc1 0.0000 0.0000 0.0000  6 Au 2.88-2.90, 2 Mo 2.89, 2 Sc 3.07
Sc2 0.5000 0.5000 0.5000  6 Au 2.88-2.90, 2 Mo 2.89, 2 Sc 3.07
Mo1 0.0000 0.5000 0.2480  6 Au 2.83-2.88, 2 Sc 2.89, 2 Mo 3.07
Mo2 0.5000 0.0000 0.7480  6 Au 2.83-2.88, 2 Sc 2.89, 2 Mo 3.07
Au1 0.0000 0.0000 0.5036  2 Mo 2.83, 4 Au 2.87-3.07, 4 Sc 2.88
Au2 0.0000 0.5000 0.7535  4 Au 2.87-3.07, 4 Mo 2.88, 2 Sc 2.90
Au3 0.5000 0.0000 0.2535  4 Au 2.87-3.07, 4 Mo 2.88, 2 Sc 2.90
Au4 0.5000 0.5000 0.0036  2 Mo 2.83, 4 Au 2.87-3.07, 4 Sc 2.88



3.
Here is crystalline CoSi3 at its relaxed geometry from the Alexandria database. Energies are from GGA-PBE.

## Properties
raw formation energy = 0.5 eV per formula unit
space-group type = No. 65
total magnetic moment = 0.001 μB/cell
DOS at the Fermi energy = 3.88 states/eV/cell
crystal system = orthorhombic

Cell lengths 5.1336, 7.0152, 2.7141 Å; angles 90.00, 90.00, 90.00 degrees
With the nearest neighbours (Å) after each atom.
Atoms (fractional coordinates):
Co1 0.0000 0.0000 0.0000  10 Si 2.56-2.57, 2 Co 2.71
Co2 0.5000 0.5000 0.0000  10 Si 2.56-2.57, 2 Co 2.71
Si1 0.0000 0.5000 0.0000  10 Si 2.56-2.71, 2 Co 2.57
Si2 0.2500 0.2500 0.5000  4 Co 2.56, 8 Si 2.56-2.71
Si3 0.2500 0.7500 0.5000  4 Co 2.56, 8 Si 2.56-2.71
Si4 0.5000 0.0000 0.0000  10 Si 2.56-2.71, 2 Co 2.57
Si5 0.7500 0.2500 0.5000  4 Co 2.56, 8 Si 2.56-2.71
Si6 0.7500 0.7500 0.5000  4 Co 2.56, 8 Si 2.56-2.71



4.
Here is crystalline Ba3Sn3Pb at its relaxed geometry from the Alexandria database. Energies are from GGA-PBE.

## Properties
space-group type = No. 12
total magnetic moment = 0.000 μB/cell
DOS at the Fermi energy = 5.31 states/eV/cell
energy of formation = -0.59 eV per atom
crystal system = monoclinic

Cell lengths 6.9400, 6.9400, 16.5204 Å; angles 106.84, 106.84, 45.69 degrees
With the nearest neighbours (Å) after each atom.
Atoms (fractional coordinates):
Ba1 0.0116 0.0116 0.3754  6 Sn 3.70-3.79, 3 Pb 3.77
Ba2 0.1092 0.1092 0.9271  7 Sn 3.62-3.79
Ba3 0.2232 0.2232 0.2271  6 Sn 3.65-3.85, 2 Pb 3.80
Ba4 0.7768 0.7768 0.7729  6 Sn 3.65-3.85, 2 Pb 3.80
Ba5 0.8908 0.8908 0.0729  7 Sn 3.62-3.79
Ba6 0.9884 0.9884 0.6246  6 Sn 3.70-3.79, 3 Pb 3.77
Sn1 0.3726 0.3726 0.4589  1 Sn 3.11, 3 Pb 3.12-3.29
Sn2 0.3996 0.3996 0.9232  2 Sn 2.98-2.99
Sn3 0.4942 0.4942 0.7795  1 Sn 2.98, 1 Pb 3.26
Sn4 0.5058 0.5058 0.2205  1 Sn 2.98, 1 Pb 3.26
Sn5 0.6004 0.6004 0.0768  2 Sn 2.98-2.99
Sn6 0.6274 0.6274 0.5411  1 Sn 3.11, 3 Pb 3.12-3.29
Pb1 0.2768 0.2768 0.6107  4 Sn 3.12-3.29
Pb2 0.7232 0.7232 0.3893  4 Sn 3.12-3.29



5.
Here is crystalline HfTeIrF2 at its relaxed geometry from the Alexandria database. Energies are from GGA-PBE.

## Properties
raw formation energy = -2.3 eV per formula unit
space-group type = No. 123
total magnetic moment = 0.651 μB/cell
DOS at the Fermi energy = 3.44 states/eV/cell
crystal system = tetragonal

Cell lengths 4.2323, 4.2323, 5.2676 Å; angles 90.00, 90.00, 90.00 degrees
With the nearest neighbours (Å) after each atom.
Atoms (fractional coordinates):
Hf1 0.0000 0.0000 0.0000  4 Ir 2.99
Te1 0.5000 0.5000 0.5000  4 F 2.12
Ir1 0.5000 0.5000 0.0000  2 Te 2.63
F1 0.0000 0.5000 0.5000  2 Te 2.12
F2 0.5000 0.0000 0.5000  2 Te 2.12



6.
Here is crystalline LaGaAsN2 at its relaxed geometry from the Alexandria database. Energies are from GGA-PBE.

## Properties
raw formation energy = 5.0 eV per formula unit
energy above the most stable polymorph in this dataset = 134 meV per atom
space-group type = No. 123
total magnetic moment = 0.310 μB/cell
DOS at the Fermi energy = 3.43 states/eV/cell
crystal system = tetragonal

Cell lengths 4.1320, 4.1320, 8.3965 Å; angles 90.00, 90.00, 90.00 degrees
With the nearest neighbours (Å) after each atom.
Atoms (fractional coordinates):
La1 0.0000 0.0000 0.0000  4 N 2.07
Ga1 0.0000 0.0000 0.5000  4 As 2.92
As1 0.5000 0.5000 0.5000  4 Ga 2.92
N1 0.0000 0.5000 0.0000  2 La 2.07
N2 0.5000 0.0000 0.0000  2 La 2.07